Record 1
# PBE-GGA NaSr3Ag, relaxed
# Energy above the most stable polymorph in this dataset = 0.0 meV/atom
# E = -1.9493 eV per atom
data_NaSr3Ag
_space_group_name_H-M_alt 'P 1 21/m 1'
_space_group_IT_number 11
_space_group_name_Hall '-P 2yb'
_cell_length_a 9.927
_cell_length_b 4.540
_cell_length_c 10.670
_cell_angle_alpha 90.00
_cell_angle_beta 116.03
_cell_angle_gamma 90.00
loop_
_atom_site_label
_atom_site_type_symbol
_atom_site_fract_x
_atom_site_fract_y
_atom_site_fract_z
_atom_site_occupancy
Na1 Na 0.181 0.250 0.098 1
Sr1 Sr 0.121 0.750 0.781 1
Sr2 Sr 0.273 0.750 0.450 1
Sr3 Sr 0.475 0.250 0.819 1
Ag1 Ag 0.103 0.250 0.559 1


Record 2
# PBE-GGA Pm4TlSb2, relaxed
# Formation energy without anion corrections = -0.59 eV per atom
# E = -4.8253 eV per atom
data_Pm4TlSb2
_space_group_name_H-M_alt 'P 1 21/m 1'
_space_group_IT_number 11
_space_group_name_Hall '-P 2yb'
_cell_length_a 6.156
_cell_length_b 6.800
_cell_length_c 10.527
_cell_angle_alpha 90.00
_cell_angle_beta 103.27
_cell_angle_gamma 90.00
loop_
_atom_site_label
_atom_site_type_symbol
_atom_site_fract_x
_atom_site_fract_y
_atom_site_fract_z
_atom_site_occupancy
Pm1 Pm 0.031 0.015 0.254 1
Pm2 Pm 0.348 0.750 0.534 1
Pm3 Pm 0.466 0.750 0.148 1
Tl1 Tl 0.456 0.750 0.827 1
Sb1 Sb 0.093 0.250 0.996 1
Sb2 Sb 0.201 0.250 0.547 1


Record 3
# PBE-GGA NdGa4Ni8, relaxed
# E = -5.1847 eV per atom
data_NdGa4Ni8
_space_group_name_H-M_alt 'I 4/m m m'
_space_group_IT_number 139
_space_group_name_Hall '-I 4 2'
_cell_length_a 8.314
_cell_length_b 8.314
_cell_length_c 5.067
_cell_angle_alpha 90.00
_cell_angle_beta 90.00
_cell_angle_gamma 90.00
loop_
_atom_site_label
_atom_site_type_symbol
_atom_site_fract_x
_atom_site_fract_y
_atom_site_fract_z
_atom_site_occupancy
Nd1 Nd 0.000 0.000 0.000 1
Ga1 Ga 0.250 0.250 0.250 1
Ni1 Ni 0.000 0.229 0.500 1
Ni2 Ni 0.000 0.353 0.000 1